First-principles (GGA-PBE) data for crystalline Ba2Pu3O10 at its relaxed geometry, as listed in Alexandria via LeMat-Bulk.

Computed properties:
* VASP energy: -553.29 eV for the cell shown
* formation energy from raw total energies: -2793 meV/atom

```
data_Ba2Pu3O10
_space_group_name_H-M_alt 'C 1 2/m 1'
_space_group_IT_number 12
_cell_length_a 19.5570
_cell_length_b 6.6297
_cell_length_c 8.4371
_cell_angle_alpha 90.00
_cell_angle_beta 113.71
_cell_angle_gamma 90.00
loop_
_space_group_symop_operation_xyz
'x,y,z'
'-x,-y,-z'
'-x,y,-z'
'x,-y,z'
'x+1/2,y+1/2,z'
'-x+1/2,-y+1/2,-z'
'-x+1/2,y+1/2,-z'
'x+1/2,-y+1/2,z'
loop_
_atom_site_label
_atom_site_type_symbol
_atom_site_fract_x
_atom_site_fract_y
_atom_site_fract_z
Ba1 Ba 0.1097 0.0000 0.2306
Ba2 Ba 0.2023 0.0000 0.8338
Pu1 Pu 0.0000 0.2468 0.5000
Pu2 Pu 0.0811 0.5000 0.9760
Pu3 Pu 0.1824 0.5000 0.5200
O1 O 0.0000 0.2906 0.0000
O2 O 0.0198 0.0000 0.6750
O3 O 0.0247 0.5000 0.6788
O4 O 0.1099 0.2407 0.5323
O5 O 0.1299 0.5000 0.2711
O6 O 0.1540 0.2834 0.9998
O7 O 0.2356 0.5000 0.7615
O8 O 0.2500 0.2500 0.5000
```

First-principles (GGA-PBE) data for crystalline La8TlTc2 at its relaxed geometry, as listed in Alexandria via LeMat-Bulk.

Computed properties:
* VASP energy: -126.12 eV for the cell shown
* formation energy: -0.049 eV/atom

```
data_La8TlTc2
_space_group_name_H-M_alt 'C 1 m 1'
_space_group_IT_number 8
_cell_length_a 8.9069
_cell_length_b 14.2200
_cell_length_c 5.6406
_cell_angle_alpha 90.00
_cell_angle_beta 102.49
_cell_angle_gamma 90.00
loop_
_space_group_symop_operation_xyz
'x,y,z'
'x,-y,z'
'x+1/2,y+1/2,z'
'x+1/2,-y+1/2,z'
loop_
_atom_site_label
_atom_site_type_symbol
_atom_site_fract_x
_atom_site_fract_y
_atom_site_fract_z
La1 La 0.0000 0.0000 0.0000
La2 La 0.0957 0.2481 0.7901
La3 La 0.1960 0.0000 0.5854
La4 La 0.2987 0.3722 0.3406
La5 La 0.3940 0.1283 0.2400
Tl1 Tl 0.0979 0.5000 0.7902
Tc1 Tc 0.0976 0.2007 0.2937
```

First-principles (GGA-PBE) data for crystalline Rb2ScBi4 at its relaxed geometry, as listed in Alexandria via LeMat-Bulk.

Computed properties:
* VASP energy: -49.32 eV for the cell shown
* formation energy: -0.124 eV/atom

```
data_Rb2ScBi4
_space_group_name_H-M_alt 'I 4/m m m'
_space_group_IT_number 139
_space_group_name_Hall '-I 4 2'
_cell_length_a 5.6715
_cell_length_b 5.6715
_cell_length_c 19.2744
_cell_angle_alpha 90.00
_cell_angle_beta 90.00
_cell_angle_gamma 90.00
loop_
_atom_site_label
_atom_site_type_symbol
_atom_site_fract_x
_atom_site_fract_y
_atom_site_fract_z
Rb1 Rb 0.0000 0.0000 0.1537
Sc1 Sc 0.0000 0.0000 0.5000
Bi1 Bi 0.0000 0.0000 0.3540
Bi2 Bi 0.0000 0.5000 0.0000
```

First-principles (GGA-PBE) data for crystalline Th6TlHg5 at its relaxed geometry, as listed in Alexandria via LeMat-Bulk.

Computed properties:
* VASP energy: -100.79 eV for the cell shown
* formation energy: -0.167 eV/atom

```
data_Th6TlHg5
_space_group_name_H-M_alt 'C m m m'
_space_group_IT_number 65
_space_group_name_Hall '-C 2 2'
_cell_length_a 5.5127
_cell_length_b 16.5800
_cell_length_c 7.4663
_cell_angle_alpha 90.00
_cell_angle_beta 90.00
_cell_angle_gamma 90.00
loop_
_atom_site_label
_atom_site_type_symbol
_atom_site_fract_x
_atom_site_fract_y
_atom_site_fract_z
Th1 Th 0.0000 0.0000 0.2494
Th2 Th 0.0000 0.3325 0.2475
Tl1 Tl 0.0000 0.5000 0.5000
Hg1 Hg 0.0000 0.1653 0.0000
Hg2 Hg 0.0000 0.1688 0.5000
Hg3 Hg 0.0000 0.5000 0.0000
```

First-principles (GGA-PBE) data for crystalline LuScH at its relaxed geometry, as listed in Alexandria via LeMat-Bulk.

Computed properties:
* VASP energy: -14.94 eV for the cell shown
* energy above the most stable polymorph in this dataset: 0.000 eV per atom

```
data_LuScH
_space_group_name_H-M_alt 'P 3 m 1'
_space_group_IT_number 156
_cell_length_a 3.4257
_cell_length_b 3.4257
_cell_length_c 5.2293
_cell_angle_alpha 90.00
_cell_angle_beta 90.00
_cell_angle_gamma 120.00
loop_
_space_group_symop_operation_xyz
'x,y,z'
'-y,x-y,z'
'-x+y,-x,z'
'-y,-x,z'
'-x+y,y,z'
'x,x-y,z'
loop_
_atom_site_label
_atom_site_type_symbol
_atom_site_fract_x
_atom_site_fract_y
_atom_site_fract_z
Lu1 Lu 0.0000 0.0000 0.0000
Sc1 Sc 0.6667 0.3333 0.5071
H1 H 0.3333 0.6667 0.7420
```

First-principles (GGA-PBE) data for crystalline HoScBi2 at its relaxed geometry, as listed in Alexandria via LeMat-Bulk.

Computed properties:
* VASP energy: -21.59 eV for the cell shown
* formation energy: -0.728 eV/atom
* energy above the most stable polymorph in this dataset: 0.016 eV per atom

```
data_HoScBi2
_space_group_name_H-M_alt 'P -3 m 1'
_space_group_IT_number 164
_space_group_name_Hall '-P 3 2"'
_cell_length_a 4.3638
_cell_length_b 4.3638
_cell_length_c 7.3088
_cell_angle_alpha 90.00
_cell_angle_beta 90.00
_cell_angle_gamma 120.00
loop_
_atom_site_label
_atom_site_type_symbol
_atom_site_fract_x
_atom_site_fract_y
_atom_site_fract_z
Ho1 Ho 0.0000 0.0000 0.0000
Sc1 Sc 0.0000 0.0000 0.5000
Bi1 Bi 0.3333 0.6667 0.7364
```

First-principles (GGA-PBE) data for crystalline LiLaZn2Ga at its relaxed geometry, as listed in Alexandria via LeMat-Bulk.

Computed properties:
* VASP energy: -28.41 eV for the cell shown
* formation energy: -0.357 eV/atom

```
data_LiLaZn2Ga
_space_group_name_H-M_alt 'I -4 m 2'
_space_group_IT_number 119
_space_group_name_Hall 'I -4 -2'
_cell_length_a 4.4043
_cell_length_b 4.4043
_cell_length_c 10.3869
_cell_angle_alpha 90.00
_cell_angle_beta 90.00
_cell_angle_gamma 90.00
loop_
_atom_site_label
_atom_site_type_symbol
_atom_site_fract_x
_atom_site_fract_y
_atom_site_fract_z
Li1 Li 0.0000 0.0000 0.0000
La1 La 0.0000 0.5000 0.7500
Zn1 Zn 0.0000 0.5000 0.1300
Ga1 Ga 0.0000 0.0000 0.5000
```

First-principles (GGA-PBE) data for crystalline La2Sm3Al at its relaxed geometry, as listed in Alexandria via LeMat-Bulk.

Computed properties:
* VASP energy: -56.36 eV for the cell shown
* formation energy: -0.071 eV/atom
* energy above the most stable polymorph in this dataset: 0.015 eV per atom

```
data_La2Sm3Al
_space_group_name_H-M_alt 'C m m m'
_space_group_IT_number 65
_space_group_name_Hall '-C 2 2'
_cell_length_a 4.9309
_cell_length_b 15.4519
_cell_length_c 4.9190
_cell_angle_alpha 90.00
_cell_angle_beta 90.00
_cell_angle_gamma 90.00
loop_
_atom_site_label
_atom_site_type_symbol
_atom_site_fract_x
_atom_site_fract_y
_atom_site_fract_z
La1 La 0.0000 0.1610 0.0000
Sm1 Sm 0.0000 0.0000 0.5000
Sm2 Sm 0.0000 0.3438 0.5000
Al1 Al 0.0000 0.5000 0.0000
```

Copy entry 4 word for word.
First-principles (GGA-PBE) data for crystalline Th6TlHg5 at its relaxed geometry, as listed in Alexandria via LeMat-Bulk.

Computed properties:
* VASP energy: -100.79 eV for the cell shown
* formation energy: -0.167 eV/atom

```
data_Th6TlHg5
_space_group_name_H-M_alt 'C m m m'
_space_group_IT_number 65
_space_group_name_Hall '-C 2 2'
_cell_length_a 5.5127
_cell_length_b 16.5800
_cell_length_c 7.4663
_cell_angle_alpha 90.00
_cell_angle_beta 90.00
_cell_angle_gamma 90.00
loop_
_atom_site_label
_atom_site_type_symbol
_atom_site_fract_x
_atom_site_fract_y
_atom_site_fract_z
Th1 Th 0.0000 0.0000 0.2494
Th2 Th 0.0000 0.3325 0.2475
Tl1 Tl 0.0000 0.5000 0.5000
Hg1 Hg 0.0000 0.1653 0.0000
Hg2 Hg 0.0000 0.1688 0.5000
Hg3 Hg 0.0000 0.5000 0.0000
```

Question: The highest VASP energy belongs to which entry?
Answer: LuScH